Material: InReBrCl2
Method: DFT, GGA-PBEsol
State: relaxed Values from VASP.

Quantum ESPRESSO input file:
```
&SYSTEM
  ibrav = 0, nat = 5, ntyp = 4
/
ATOMIC_SPECIES
In 114.82 In.upf
Re 186.21 Re.upf
Br 79.90 Br.upf
Cl 35.45 Cl.upf
CELL_PARAMETERS angstrom
6.0212 0.0000 0.0000
0.0000 6.0212 0.0000
0.0000 0.0000 4.5450
ATOMIC_POSITIONS angstrom
In 0.0000 0.0000 0.0000
Re 3.0106 3.0106 0.0000
Br 3.0106 3.0106 2.2725
Cl 0.0000 3.0106 2.2725
Cl 3.0106 0.0000 2.2725
```

Properties
**Space group**: P4/mmm
**D(E_F)**: 1.25 states/eV/f.u.
**Uncorrected formation energy**: 0.993 eV/atom
**V**: 32.96 Å³ per atom



Material: Ir2BrCl
Method: DFT, GGA-PBEsol
State: relaxed Values from VASP.

Quantum ESPRESSO input file:
```
&SYSTEM
  ibrav = 0, nat = 4, ntyp = 3
/
ATOMIC_SPECIES
Ir 192.22 Ir.upf
Br 79.90 Br.upf
Cl 35.45 Cl.upf
CELL_PARAMETERS angstrom
4.1493 -1.4990 0.0000
4.1493 1.4990 0.0000
-0.9796 0.0000 5.0701
ATOMIC_POSITIONS angstrom
Ir 1.7789 0.0000 1.2948
Ir 5.5401 0.0000 3.7752
Br 4.1493 0.0000 0.0000
Cl -0.4898 0.0000 2.5350
```

Properties
**Space group**: C2/m
**E above lowest polymorph**: 0.332 eV per formula unit
**D(E_F)**: 3.78 states/eV/f.u.
**Uncorrected formation energy**: 1.001 eV/atom
**V**: 15.77 Å³ per atom



Material: Ir3BrCl
Method: DFT, GGA-PBEsol
State: relaxed Values from VASP.

Quantum ESPRESSO input file:
```
&SYSTEM
  ibrav = 0, nat = 5, ntyp = 3
/
ATOMIC_SPECIES
Ir 192.22 Ir.upf
Br 79.90 Br.upf
Cl 35.45 Cl.upf
CELL_PARAMETERS angstrom
4.4596 0.0000 0.0000
0.0000 4.4596 0.0000
0.0000 0.0000 4.4596
ATOMIC_POSITIONS angstrom
Ir 0.0000 0.0000 2.2298
Ir 0.0000 2.2298 0.0000
Ir 2.2298 0.0000 0.0000
Br 2.2298 2.2298 2.2298
Cl 0.0000 0.0000 0.0000
```

Properties
**Space group**: Pm-3m
**D(E_F)**: 10.52 states/eV/f.u.
**Uncorrected formation energy**: 1.970 eV/atom
**V**: 17.74 Å³ per atom



Among the records above, which one has the lowest uncorrected formation energy? InReBrCl2